# 1
This record from Alexandria via LeMat-Bulk describes an optimized crystal structure of Dy4YTm2. The functional is PBE-GGA.

```
Dy4YTm2
1.0
8.312 -1.756 0.000
8.312 1.756 0.000
-4.276 0.000 7.543
Dy Y Tm
4 1 2
direct
0.140 0.140 0.331
0.205 0.205 0.795
0.795 0.795 0.205
0.860 0.860 0.669
0.500 0.500 0.500
0.430 0.430 0.070
0.570 0.570 0.930
```

Density of states at the Fermi level = 1.649 states/eV/atom
DFT formation energy = 0.0368 eV per atom
VASP energy = -4.794 eV/atom
Magnetic moment = 0.00 μB/f.u.

=====

# 2
This record from Alexandria via LeMat-Bulk describes an optimized crystal structure of CoNiRh2. The functional is PBE-GGA.

```
CoNiRh2
1.0
3.760 0.000 0.000
0.000 3.760 0.000
0.000 0.000 3.632
Co Ni Rh
1 1 2
direct
0.000 0.000 0.000
0.500 0.500 0.000
0.000 0.500 0.500
0.500 0.000 0.500
```

Density of states at the Fermi level = 1.488 states/eV/atom
DFT formation energy = 0.0562 eV per atom
VASP energy = -6.841 eV/atom
Magnetic moment = 3.79 μB/f.u.

=====

# 3
This record from Alexandria via LeMat-Bulk describes an optimized crystal structure of TlInNiSn2. The functional is PBE-GGA.

```
TlInNiSn2
1.0
5.046 0.000 0.000
0.000 5.046 0.000
0.000 0.000 5.200
Tl In Ni Sn
1 1 1 2
direct
0.000 0.000 0.000
0.500 0.500 0.000
0.000 0.000 0.500
0.000 0.500 0.500
0.500 0.000 0.500
```

Density of states at the Fermi level = 0.324 states/eV/atom
DFT formation energy = 0.0730 eV per atom
VASP energy = -3.705 eV/atom
Magnetic moment = 0.00 μB/f.u.

=====

# 4
This record from Alexandria via LeMat-Bulk describes an optimized crystal structure of CuPbCl2. The functional is PBE-GGA.

```
CuPbCl2
1.0
3.427 0.000 0.000
0.000 3.427 0.000
0.000 0.000 8.157
Cu Pb Cl
1 1 2
direct
0.000 0.000 0.000
0.500 0.500 0.467
0.000 0.000 0.729
0.500 0.500 0.106
```

Density of states at the Fermi level = 0.415 states/eV/atom
VASP energy = -3.274 eV/atom
Magnetic moment = 0.00 μB/f.u.

=====

# 5
This record from Alexandria via LeMat-Bulk describes an optimized crystal structure of TbHo2Se4. The functional is PBE-GGA.

```
TbHo2Se4
1.0
1.982 -6.697 0.000
1.982 6.697 0.000
0.000 0.000 13.768
Tb Ho Se
2 4 8
direct
0.127 0.873 0.750
0.873 0.127 0.250
0.370 0.630 0.570
0.370 0.630 0.930
0.630 0.370 0.070
0.630 0.370 0.430
0.000 0.000 0.000
0.000 0.000 0.500
0.277 0.723 0.122
0.277 0.723 0.378
0.469 0.531 0.750
0.531 0.469 0.250
0.723 0.277 0.622
0.723 0.277 0.878
```

Density of states at the Fermi level = 0.332 states/eV/atom
VASP energy = -5.793 eV/atom
Magnetic moment = 0.00 μB/f.u.

=====

# 6
This record from Alexandria via LeMat-Bulk describes an optimized crystal structure of VGaMo. The functional is PBE-GGA.

```
VGaMo
1.0
4.980 -1.614 0.000
4.980 1.614 0.000
-1.796 0.000 5.511
V Ga Mo
2 2 2
direct
0.004 0.004 0.251
0.996 0.996 0.749
0.337 0.337 0.412
0.663 0.663 0.588
0.338 0.338 0.922
0.662 0.662 0.078
```

Density of states at the Fermi level = 0.508 states/eV/atom
DFT formation energy = -0.1565 eV per atom
VASP energy = -7.815 eV/atom
Magnetic moment = 0.00 μB/f.u.

=====

# 7
This record from Alexandria via LeMat-Bulk describes an optimized crystal structure of K3Tl3Pd2. The functional is PBE-GGA.

```
K3Tl3Pd2
1.0
2.495 -6.131 0.000
2.495 6.131 0.000
0.000 0.000 16.553
K Tl Pd
6 6 4
direct
0.071 0.929 0.608
0.071 0.929 0.892
0.389 0.611 0.750
0.611 0.389 0.250
0.929 0.071 0.108
0.929 0.071 0.392
0.311 0.689 0.250
0.353 0.647 0.536
0.353 0.647 0.964
0.647 0.353 0.036
0.647 0.353 0.464
0.689 0.311 0.750
0.213 0.787 0.101
0.213 0.787 0.399
0.787 0.213 0.601
0.787 0.213 0.899
```

Density of states at the Fermi level = 0.357 states/eV/atom
DFT formation energy = -0.1589 eV per atom
VASP energy = -2.756 eV/atom
Magnetic moment = 0.00 μB/f.u.

=====

# 8
This record from Alexandria via LeMat-Bulk describes an optimized crystal structure of Zr2Ir3. The functional is PBE-GGA.

```
Zr2Ir3
1.0
4.495 0.000 0.000
-2.247 3.893 0.000
0.000 0.000 5.505
Zr Ir
2 3
direct
0.333 0.667 0.307
0.667 0.333 0.693
0.000 0.000 0.500
0.333 0.667 0.821
0.667 0.333 0.179
```

Density of states at the Fermi level = 0.365 states/eV/atom
DFT formation energy = -0.4370 eV per atom
VASP energy = -9.173 eV/atom
Magnetic moment = 0.00 μB/f.u.

=====

# 9
This record from Alexandria via LeMat-Bulk describes an optimized crystal structure of Dy3Fe7Si2. The functional is PBE-GGA.

```
Dy3Fe7Si2
1.0
2.573 1.486 7.855
-2.573 1.486 7.855
0.000 -2.971 7.855
Dy Fe Si
3 7 2
direct
0.000 0.000 0.000
0.141 0.141 0.141
0.859 0.859 0.859
0.083 0.578 0.578
0.422 0.422 0.917
0.422 0.917 0.422
0.500 0.500 0.500
0.578 0.083 0.578
0.578 0.578 0.083
0.917 0.422 0.422
0.332 0.332 0.332
0.668 0.668 0.668
```

Density of states at the Fermi level = 0.625 states/eV/atom
VASP energy = -7.320 eV/atom
Magnetic moment = 10.70 μB/f.u.

=====

# 10
This record from Alexandria via LeMat-Bulk describes an optimized crystal structure of BaNaSr2Cl. The functional is PBE-GGA.

```
BaNaSr2Cl
1.0
6.079 0.000 0.000
0.000 6.079 0.000
0.000 0.000 6.445
Ba Na Sr Cl
1 1 2 1
direct
0.000 0.000 0.000
0.500 0.500 0.000
0.000 0.500 0.500
0.500 0.000 0.500
0.500 0.500 0.500
```

Density of states at the Fermi level = 0.995 states/eV/atom
VASP energy = -2.259 eV/atom
Magnetic moment = 0.00 μB/f.u.

=====

# 11
This record from Alexandria via LeMat-Bulk describes an optimized crystal structure of K3Ba. The functional is PBE-GGA.

```
K3Ba
1.0
4.556 0.000 0.000
-2.278 3.946 0.000
0.000 0.000 15.491
K Ba
3 1
direct
0.000 0.000 0.000
0.667 0.333 0.254
0.667 0.333 0.746
0.333 0.667 0.500
```

Density of states at the Fermi level = 1.076 states/eV/atom
DFT formation energy = 0.0459 eV per atom
VASP energy = -1.258 eV/atom
Magnetic moment = 0.00 μB/f.u.